Record 1
This record from the Alexandria database describes an optimized crystal structure of Ta2HPtAu. The functional is PBE.

- offset from the most stable computed form (meV per atom) = 26
- DOS at the Fermi energy (states/eV per cell) = 2.71
- magnetization (Bohr magnetons per cell) = 0.000
- uncorrected energy (eV/atom) = -7.4338

Lattice parameters (Å, degrees): 4.105 4.105 4.201 90.00 90.00 90.00
Space group P4/mmm (No. 123)
Unique sites:
1 Ta 0.000 0.500 0.000 x2
2 H 0.000 0.000 0.000 x1
3 Pt 0.500 0.500 0.500 x1
4 Au 0.000 0.000 0.500 x1



Record 2
This record from the Alexandria database describes an optimized crystal structure of LaHo4Tl4. The functional is PBE.

- DOS at the Fermi energy (states/eV per cell) = 13.64
- magnetization (Bohr magnetons per cell) = 0.000
- uncorrected energy (eV/atom) = -3.7935

Lattice parameters (Å, degrees): 9.651 9.651 5.794 90.00 90.00 90.00
Space group P4_2/n (No. 86, origin choice 2)
Unique sites:
1 La 0.250 0.250 0.250 x2
2 Ho 0.099 0.832 0.655 x8
3 Tl 0.035 0.142 0.837 x8



Record 3
This record from the Alexandria database describes an optimized crystal structure of Be8In. The functional is PBE.

- DOS at the Fermi energy (states/eV per cell) = 5.38
- magnetization (Bohr magnetons per cell) = 0.000
- uncorrected energy (eV/atom) = -3.2461

Lattice parameters (Å, degrees): 7.313 7.313 3.423 90.00 90.00 90.00
Space group I4/mmm (No. 139)
Unique sites:
1 Be 0.000 0.350 0.000 x8
2 Be 0.188 0.188 0.500 x8
3 In 0.000 0.000 0.000 x2



Record 4
This record from the Alexandria database describes an optimized crystal structure of Er5Bi2. The functional is PBE.

- offset from the most stable computed form (meV per atom) = 0
- DOS at the Fermi energy (states/eV per cell) = 25.42
- magnetization (Bohr magnetons per cell) = 0.000
- uncorrected energy (eV/atom) = -4.8304

Lattice parameters (Å, degrees): 4.570 39.482 4.547 90.00 90.00 90.00
Space group Cmcm (No. 63)
Unique sites:
1 Er 0.000 0.034 0.250 x4
2 Er 0.000 0.177 0.750 x4
3 Er 0.000 0.250 0.250 x4
4 Er 0.000 0.391 0.750 x4
5 Er 0.000 0.465 0.250 x4
6 Bi 0.000 0.096 0.750 x4
7 Bi 0.000 0.312 0.750 x4



What is the DOS at the Fermi energy in the fourth record?
25.42 states/eV per cell



Among the records above, which one has the lowest DOS at the Fermi energy?
Ta2HPtAu